## VNiP2S (GGA-PBE)

Data for crystalline VNiP2S at its relaxed geometry.

D(E_F)   5.114 states/eV/cell
Total magnetic moment   2.25 Bohr magnetons per cell
Formation energy from raw total energies   0.57 eV per atom

a b c (Å): 4.2627 4.2627 4.7029
angles (deg): 90.00 90.00 90.00
Last column: nearest neighbours and their distance in Å.
Space group P4/mmm (No. 123)
One atom of each set of equivalent atoms:
V1 0.0000 0.0000 0.0000 (multiplicity 1)  4 S 3.01, 8 P 3.17
Ni1 0.5000 0.5000 0.5000 (multiplicity 1)  4 P 2.13, 2 S 2.35
P1 0.0000 0.5000 0.5000 (multiplicity 2)  2 Ni 2.13
S1 0.5000 0.5000 0.0000 (multiplicity 1)  2 Ni 2.35